Record 1
VASP calculation (GGA-PBE) on TmInGeAu after structural relaxation.

Unit cell a=4.9564 b=4.9564 c=4.9564 alpha=60.00 beta=60.00 gamma=60.00
Atoms (fractional coordinates):
Tm  0.0000  0.0000  0.0000
In  0.5000  0.5000  0.5000
Ge  0.2500  0.2500  0.2500
Au  0.7500  0.7500  0.7500

Output
DFT formation energy   -0.398 eV per atom
VASP energy   -16.7 eV/f.u.

***

Record 2
VASP calculation (GGA-PBE) on UInGeAu after structural relaxation.

Unit cell a=4.9639 b=4.9639 c=4.9639 alpha=60.00 beta=60.00 gamma=60.00
Atoms (fractional coordinates):
U  0.0000  0.0000  0.0000
In  0.5000  0.5000  0.5000
Ge  0.7500  0.7500  0.7500
Au  0.2500  0.2500  0.2500

Output
DFT formation energy   -0.112 eV per atom
VASP energy   -22.4 eV/f.u.

***

Record 3
VASP calculation (GGA-PBE) on YInGeAu after structural relaxation.

Unit cell a=4.9999 b=4.9999 c=4.9999 alpha=60.00 beta=60.00 gamma=60.00
Atoms (fractional coordinates):
Y  0.0000  0.0000  0.0000
In  0.5000  0.5000  0.5000
Ge  0.7500  0.7500  0.7500
Au  0.2500  0.2500  0.2500

Output
DFT formation energy   -0.425 eV per atom
VASP energy   -18.8 eV/f.u.

***

Record 4
VASP calculation (GGA-PBE) on GeIr2Au after structural relaxation.

Unit cell a=9.6527 b=9.6527 c=9.6527 alpha=157.05 beta=157.05 gamma=32.69
Atoms (fractional coordinates):
Ge  0.0000  0.0000  0.0000
Ge  0.7500  0.2500  0.5000
Ir  0.1197  0.6250  0.9947
Ir  0.3750  0.3697  0.4947
Ir  0.6303  0.1250  0.0053
Ir  0.8750  0.8803  0.5053
Au  0.2500  0.7500  0.5000
Au  0.5000  0.5000  0.0000

Output
DFT formation energy   0.465 eV per atom
VASP energy   -23.8 eV/f.u.